Record 1
Below is a geometry-optimized NaNbAs2 structure, with properties calculated at the PBE-GGA level.

Results
Energy above the most stable polymorph in this dataset in meV per atom: 57
Raw total energy in eV per formula unit: -22.21
Energy of formation from the pure elements in eV per atom: -0.380
Space-group type: P4/mmm, No. 123

a b c (Å): 3.302 3.302 7.262
angles (deg): 90.00 90.00 90.00
Element x y z (fractional)
As  0.000  0.000  0.205
As  0.000  0.000  0.795
Nb  0.500  0.500  0.000
Na  0.500  0.500  0.500

=====

Record 2
Below is a geometry-optimized NaNbAs2 structure, with properties calculated at the PBE-GGA level.

Results
Energy above the most stable polymorph in this dataset in meV per atom: 0
Raw total energy in eV per formula unit: -22.43
Energy of formation from the pure elements in eV per atom: -0.436
Space-group type: R-3m, No. 166

a b c (Å): 3.483 3.483 8.209
angles (deg): 77.75 77.75 60.00
Element x y z (fractional)
As  0.261  0.261  0.217
As  0.739  0.739  0.783
Nb  0.000  0.000  0.000
Na  0.500  0.500  0.500

=====

Record 3
Below is a geometry-optimized NaNbAs structure, with properties calculated at the PBE-GGA level.

Results
Raw total energy in eV per formula unit: -17.43
Energy of formation from the pure elements in eV per atom: -0.462
Space-group type: P4/nmm, No. 129

a b c (Å): 4.061 4.061 7.701
angles (deg): 90.00 90.00 90.00
Element x y z (fractional)
Na  0.000  0.500  0.861
Na  0.500  0.000  0.139
As  0.500  0.000  0.732
As  0.000  0.500  0.268
Nb  0.000  0.000  0.500
Nb  0.500  0.500  0.500

=====

Record 4
Below is a geometry-optimized Na2NbAs structure, with properties calculated at the PBE-GGA level.

Results
Raw total energy in eV per formula unit: -15.49
Energy of formation from the pure elements in eV per atom: 0.468
Space-group type: I-42d, No. 122

a b c (Å): 9.561 9.561 7.226
angles (deg): 48.58 48.58 90.00
Element x y z (fractional)
Nb  0.750  0.250  0.500
Nb  0.000  0.000  0.000
Na  0.529  0.125  0.250
Na  0.375  0.471  0.750
Na  0.221  0.625  0.250
Na  0.875  0.779  0.750
As  0.500  0.500  0.000
As  0.250  0.750  0.500

=====

Record 5
Below is a geometry-optimized Na2NbAsO6 structure, with properties calculated at the PBE-GGA level.

Results
Energy above the most stable polymorph in this dataset in meV per atom: 0
Raw total energy in eV per formula unit: -66.85
Space-group type: C2/c, No. 15

a b c (Å): 9.221 9.221 7.424
angles (deg): 75.51 75.51 73.35
Element x y z (fractional)
O  0.524  0.213  0.511
O  0.876  0.158  0.972
O  0.158  0.876  0.472
O  0.787  0.476  0.989
O  0.308  0.211  0.877
O  0.480  0.318  0.062
O  0.045  0.360  0.721
O  0.640  0.955  0.779
O  0.041  0.285  0.129
O  0.715  0.959  0.371
O  0.476  0.787  0.489
O  0.213  0.524  0.011
O  0.959  0.715  0.871
O  0.285  0.041  0.629
O  0.682  0.520  0.438
O  0.211  0.308  0.377
O  0.360  0.045  0.221
O  0.318  0.480  0.562
O  0.955  0.640  0.279
O  0.124  0.842  0.028
O  0.842  0.124  0.528
O  0.520  0.682  0.938
O  0.789  0.692  0.623
O  0.692  0.789  0.123
Nb  0.291  0.286  0.615
Nb  0.286  0.291  0.115
Nb  0.709  0.714  0.385
Nb  0.714  0.709  0.885
Na  0.071  0.648  0.561
Na  0.352  0.929  0.939
Na  0.008  0.992  0.750
Na  0.929  0.352  0.439
Na  0.548  0.452  0.250
Na  0.992  0.008  0.250
Na  0.648  0.071  0.061
Na  0.452  0.548  0.750
As  0.317  0.940  0.450
As  0.683  0.060  0.550
As  0.940  0.317  0.950
As  0.060  0.683  0.050

=====

Record 6
Below is a geometry-optimized Na2NbAsO6 structure, with properties calculated at the PBE-GGA level.

Results
Energy above the most stable polymorph in this dataset in meV per atom: 113
Raw total energy in eV per formula unit: -65.72
Space-group type: P4mm, No. 99

a b c (Å): 4.809 5.202 5.202
angles (deg): 90.00 90.00 90.00
Element x y z (fractional)
Na  0.040  0.000  0.500
Na  0.040  0.500  0.000
Nb  0.584  0.500  0.500
As  0.581  0.000  0.000
O  0.691  0.238  0.238
O  0.691  0.238  0.762
O  0.209  0.500  0.500
O  0.691  0.762  0.762
O  0.228  0.000  0.000
O  0.691  0.762  0.238

=====

Record 7
Below is a geometry-optimized NaNbAs2O8 structure, with properties calculated at the PBE-GGA level.

Results
Raw total energy in eV per formula unit: -79.32
Space-group type: I-4m2, No. 119

a b c (Å): 5.738 5.738 5.738
angles (deg): 106.23 106.23 116.17
Element x y z (fractional)
O  0.373  0.050  0.322
O  0.950  0.272  0.322
O  0.473  0.672  0.801
O  0.328  0.527  0.199
O  0.950  0.627  0.678
O  0.728  0.050  0.678
O  0.328  0.129  0.801
O  0.871  0.672  0.199
As  0.500  0.500  0.000
As  0.750  0.250  0.500
Na  0.000  0.000  0.000
Nb  0.250  0.750  0.500

=====

Record 8
Below is a geometry-optimized Na3NbAs2O9 structure, with properties calculated at the PBE-GGA level.

Results
Raw total energy in eV per formula unit: -90.14
Space-group type: P2_1/c, No. 14

a b c (Å): 10.215 10.306 12.153
angles (deg): 60.50 90.00 90.00
Element x y z (fractional)
O  0.760  0.107  0.516
O  0.547  0.125  0.161
O  0.453  0.875  0.839
O  0.406  0.222  0.962
O  0.127  0.928  0.677
O  0.873  0.072  0.323
O  0.740  0.107  0.016
O  0.760  0.367  0.550
O  0.260  0.633  0.950
O  0.373  0.928  0.177
O  0.631  0.851  0.425
O  0.019  0.447  0.480
O  0.664  0.340  0.816
O  0.627  0.072  0.823
O  0.240  0.893  0.484
O  0.869  0.851  0.925
O  0.094  0.222  0.462
O  0.836  0.340  0.316
O  0.164  0.660  0.684
O  0.401  0.285  0.478
O  0.906  0.778  0.538
O  0.599  0.715  0.522
O  0.047  0.875  0.339
O  0.099  0.285  0.978
O  0.740  0.367  0.050
O  0.901  0.715  0.022
O  0.519  0.553  0.020
O  0.981  0.553  0.520
O  0.240  0.633  0.450
O  0.953  0.125  0.661
O  0.594  0.778  0.038
O  0.131  0.149  0.075
O  0.369  0.149  0.575
O  0.336  0.660  0.184
O  0.481  0.447  0.980
O  0.260  0.893  0.984
Na  0.410  0.808  0.404
Na  0.232  0.458  0.380
Na  0.888  0.904  0.650
Na  0.732  0.542  0.120
Na  0.910  0.192  0.096
Na  0.388  0.096  0.850
Na  0.612  0.904  0.150
Na  0.112  0.096  0.350
Na  0.090  0.808  0.904
Na  0.268  0.458  0.880
Na  0.590  0.192  0.596
Na  0.768  0.542  0.620
As  0.263  0.825  0.650
As  0.132  0.134  0.627
As  0.368  0.134  0.127
As  0.763  0.175  0.850
As  0.737  0.175  0.350
As  0.868  0.866  0.373
As  0.632  0.866  0.873
As  0.237  0.825  0.150
Nb  0.613  0.289  0.996
Nb  0.113  0.711  0.504
Nb  0.887  0.289  0.496
Nb  0.387  0.711  0.004